No. 1
Sr2LuBiO6, optimized geometry, DFT PBE; crystal system = monoclinic; total energy = -132.87 eV for the cell shown
1.0
5.854 0.000 0.005
0.000 5.925 0.000
-0.005 0.000 8.308
O Bi Sr Lu
12 2 4 2
Direct
0.088 0.026 0.246 O
0.214 0.293 0.547 O
0.412 0.526 0.254 O
0.295 0.786 0.547 O
0.912 0.974 0.754 O
0.705 0.214 0.453 O
0.286 0.793 0.953 O
0.588 0.474 0.746 O
0.714 0.207 0.047 O
0.786 0.707 0.453 O
0.795 0.714 0.047 O
0.205 0.286 0.953 O
0.000 0.000 0.000 Bi
0.500 0.500 0.500 Bi
0.490 0.038 0.750 Sr
0.990 0.462 0.250 Sr
0.010 0.538 0.750 Sr
0.510 0.962 0.250 Sr
0.500 0.500 0.000 Lu
0.000 0.000 0.500 Lu

No. 2
Y3Zn3Pt2Au, optimized geometry, DFT PBE; E_form = -0.876 eV/atom; crystal system = hexagonal
1.0
-5.185 3.190 4.089
5.544 -3.554 3.227
2.074 3.292 0.062
Y Pt Zn Au
3 2 3 1
Direct
0.000 0.412 0.000 Y
0.412 0.000 0.000 Y
0.588 0.588 0.000 Y
0.333 0.667 0.500 Pt
0.667 0.333 0.500 Pt
0.000 0.744 0.500 Zn
0.744 0.000 0.500 Zn
0.256 0.256 0.500 Zn
0.000 0.000 0.000 Au

Number 1: size of the total moment 0.0 μB/f.u., calculated volume 144 Å³/f.u.. Number 2: size of the total moment 0.0 μB/f.u., calculated volume 181 Å³/f.u..